{
  "formula": "LiPuGe2Rh",
  "functional": "PBE-GGA",
  "state": "relaxed",
  "energy_ry_per_atom": -0.5202,
  "space_group": "I-4m2 (119)",
  "density_g_cm3": 9.2,
  "volume_a3_per_cell": 90,
  "total_magnetization_mub_per_atom": 1.07,
  "crystal_system": "tetragonal",
  "dos_at_fermi_per_ev_cell": 11.72,
  "lattice": [[4.116, 0.000, 0.000], [0.000, 4.116, 0.000], [-2.058, -2.058, 5.301]],
  "species": ["Ge", "Rh", "Li", "Pu", "Ge"],
  "fractional_positions": [[0.381, 0.381, 0.763], [0.750, 0.250, 0.500], [0.250, 0.750, 0.500], [0.000, 0.000, 0.000], [0.619, 0.619, 0.237]]
}